Material: SnH2Rh
Method: DFT, PBE
State: relaxed

Results
symmetry = I-42d
total DFT energy (no corrections) = -4.403 eV/atom
crystal system = tetragonal

Cell: 5.7159 5.7159 5.7159 Å, 133.10 133.10 68.49°
Last column: nearest neighbours and their distance in Å.
Sites, in units of the cell vectors:
Sn: 0.0000 0.0000 0.0000  4 H 2.47
Sn: 0.7500 0.2500 0.5000  4 H 2.47
H: 0.2803 0.6250 0.1553  2 Rh 1.70
H: 0.3750 0.5303 0.6553  2 Rh 1.70
H: 0.4697 0.1250 0.8447  2 Rh 1.70
H: 0.8750 0.7197 0.3447  2 Rh 1.70
Rh: 0.2500 0.7500 0.5000  4 H 1.70
Rh: 0.5000 0.5000 0.0000  4 H 1.70

Material: RbBeNiRu2
Method: DFT, PBE
State: relaxed

Results
symmetry = P4/mmm
total DFT energy (no corrections) = -2.738 eV/atom
crystal system = tetragonal

Cell: 4.7250 4.7250 4.4254 Å, 90.00 90.00 90.00°
Last column: nearest neighbours and their distance in Å.
Sites, in units of the cell vectors:
Rb: 0.0000 0.0000 0.0000  2 Be 2.21, 4 Ru 2.36
Be: 0.0000 0.0000 0.5000  2 Rb 2.21
Ni: 0.5000 0.5000 0.5000  8 Ru 3.24, 4 Be 3.34
Ru: 0.0000 0.5000 0.0000  2 Rb 2.36
Ru: 0.5000 0.0000 0.0000  2 Rb 2.36

Material: AlNiOs
Method: DFT, PBE
State: relaxed

Results
symmetry = F-43m
total DFT energy (no corrections) = -6.548 eV/atom
crystal system = cubic

Cell: 4.0924 4.0924 4.0924 Å, 60.00 60.00 60.00°
Last column: nearest neighbours and their distance in Å.
Sites, in units of the cell vectors:
Al: 0.0000 0.0000 0.0000  4 Os 2.51
Ni: 0.5000 0.5000 0.5000  4 Os 2.51
Os: 0.2500 0.2500 0.2500  4 Ni 2.51, 4 Al 2.51

Material: SrTcSb2
Method: DFT, PBE
State: relaxed

Results
symmetry = Imm2
formation energy from raw total energies = -0.152 eV/atom
crystal system = orthorhombic

Cell: 8.3773 8.3773 8.3773 Å, 156.23 154.07 35.46°
Last column: nearest neighbours and their distance in Å.
Sites, in units of the cell vectors:
Sr: 0.0000 0.0000 0.0000  6 Sb 3.27-3.33, 2 Sr 3.45
Tc: 0.2379 0.7379 0.5000  6 Sb 2.68-2.79
Sb: 0.3663 0.3663 0.0000  2 Tc 2.68
Sb: 0.6675 0.1675 0.5000  4 Tc 2.79

Material: Cu2TcHPd
Method: DFT, PBE
State: relaxed

Results
symmetry = P4/mmm
total DFT energy (no corrections) = -5.172 eV/atom
crystal system = tetragonal

Cell: 3.9703 3.9703 3.6640 Å, 90.00 90.00 90.00°
Last column: nearest neighbours and their distance in Å.
Sites, in units of the cell vectors:
Cu: 0.0000 0.5000 0.0000  2 H 1.99
Cu: 0.5000 0.0000 0.0000  2 H 1.99
Tc: 0.0000 0.0000 0.5000  2 H 1.83
H: 0.0000 0.0000 0.0000  2 Tc 1.83, 4 Cu 1.99
Pd: 0.5000 0.5000 0.5000  8 Cu 2.70, 4 Tc 2.81

Material: TbPaSi
Method: DFT, PBE
State: relaxed

Results
symmetry = Cmcm
formation energy from raw total energies = -0.215 eV/atom
crystal system = orthorhombic

Cell: 5.8093 5.8093 6.2063 Å, 90.00 90.00 136.72°
Last column: nearest neighbours and their distance in Å.
Sites, in units of the cell vectors:
Tb: 0.0000 0.0000 0.0000  4 Si 2.98, 2 Tb 3.10
Tb: 0.0000 0.0000 0.5000  4 Si 2.98, 2 Tb 3.10
Pa: 0.3085 0.6915 0.7500  4 Si 2.91-3.18
Pa: 0.6915 0.3085 0.2500  4 Si 2.91-3.18
Si: 0.3737 0.6263 0.2500  4 Pa 2.91-3.18, 4 Tb 2.98
Si: 0.6263 0.3737 0.7500  4 Pa 2.91-3.18, 4 Tb 2.98